Computed, not measured: CeHoGa after structural relaxation at the PBE level of DFT.

- Energy relative to the lowest polymorph listed for this composition: 0.000 eV/atom
- Raw total energy: -4.80 eV/atom
- DFT formation energy: -0.291 eV/atom

Cell: 3.4233 3.4233 7.0967 Å, 103.96 103.96 90.00°
Closest atoms and distances in Å follow each position.
Sites, in units of the cell vectors:
Ga 0.6631 0.6631 0.3263  4 Ho 3.06, 4 Ce 3.15, 4 Ga 3.42
Ho 0.0225 0.0225 0.0451  4 Ga 3.06, 4 Ho 3.42
Ce 0.3143 0.3143 0.6286  4 Ga 3.15, 4 Ce 3.42

Computed, not measured: VCr2N after structural relaxation at the PBE level of DFT.

- Raw total energy: -9.07 eV/atom

Cell: 2.7362 2.7362 7.1119 Å, 78.91 78.91 60.00°
Closest atoms and distances in Å follow each position.
Sites, in units of the cell vectors:
Cr 0.1119 0.1119 0.6642  3 N 1.95
N 0.5000 0.5000 0.5000  6 Cr 1.95
Cr 0.8881 0.8881 0.3358  3 N 1.95
V 0.0000 0.0000 0.0000  2 Cr 2.33

Computed, not measured: Mg3InAg6 after structural relaxation at the PBE level of DFT.

- Raw total energy: -2.62 eV/atom
- DFT formation energy: -0.153 eV/atom

Cell: 4.7388 8.2212 10.0520 Å, 107.36 90.00 90.00°
Closest atoms and distances in Å follow each position.
Sites, in units of the cell vectors:
Ag 0.2500 0.6355 0.6947  5 Mg 2.80-2.89, 3 Ag 2.92-3.11, 1 In 2.93
Ag 0.7500 0.9448 0.0990  3 Ag 2.84-2.94, 1 In 2.86, 4 Mg 2.86-2.90
In 0.7500 0.0579 0.3968  8 Ag 2.86-3.08
Mg 0.7500 0.6503 0.2007  8 Ag 2.83-2.90
Mg 0.2500 0.7558 0.9924  8 Ag 2.86-2.93
Mg 0.2500 0.5461 0.3943  8 Ag 2.80-2.94
Ag 0.2500 0.1595 0.1968  8 Ag 2.84-3.00
Mg 0.7500 0.4539 0.6057  8 Ag 2.80-2.94
Mg 0.7500 0.2442 0.0076  8 Ag 2.86-2.93
Mg 0.2500 0.3497 0.7993  8 Ag 2.83-2.90
Ag 0.7500 0.8405 0.8032  8 Ag 2.84-3.00
In 0.2500 0.9421 0.6032  8 Ag 2.86-3.08
Ag 0.2500 0.8462 0.2919  4 Mg 2.86-2.94, 3 In 2.94-2.99, 1 Ag 3.00
Ag 0.2500 0.4595 0.0948  7 Mg 2.83-2.93, 1 Ag 2.94
Ag 0.7500 0.5405 0.9052  7 Mg 2.83-2.93, 1 Ag 2.94
Ag 0.7500 0.3645 0.3053  5 Mg 2.80-2.89, 3 Ag 2.92-3.11, 1 In 2.93
Ag 0.7500 0.1538 0.7081  4 Mg 2.86-2.94, 3 In 2.94-2.99, 1 Ag 3.00
Ag 0.2500 0.2611 0.5030  4 Mg 2.85-2.87, 3 In 2.91-3.08, 2 Ag 2.94-3.11
Ag 0.7500 0.7389 0.4970  4 Mg 2.85-2.87, 3 In 2.91-3.08, 2 Ag 2.94-3.11
Ag 0.2500 0.0552 0.9010  3 Ag 2.84-2.94, 1 In 2.86, 4 Mg 2.86-2.90

Computed, not measured: GaHgGe3 after structural relaxation at the PBE level of DFT.

- Energy relative to the lowest polymorph listed for this composition: 0.306 eV/atom
- Raw total energy: -2.54 eV/atom
- DFT formation energy: 0.897 eV/atom

Cell: 5.2513 5.2513 5.2513 Å, 90.00 90.00 90.00°
Closest atoms and distances in Å follow each position.
Sites, in units of the cell vectors:
Ge 0.5000 0.0000 0.0000  2 Hg 2.63
Ge 0.0000 0.5000 0.0000  2 Hg 2.63
Hg 0.0000 0.0000 0.0000  6 Ge 2.63
Ga 0.5000 0.5000 0.5000  12 Ge 3.71
Ge 0.0000 0.0000 0.5000  2 Hg 2.63

Computed, not measured: Np3ScTl3Se8 after structural relaxation at the PBE level of DFT.

- Raw total energy: -6.38 eV/atom

Cell: 8.2554 8.2557 9.1532 Å, 116.82 90.00 120.00°
Closest atoms and distances in Å follow each position.
Sites, in units of the cell vectors:
Np 0.0000 0.5000 0.5000  6 Se 2.87
Se 0.2652 0.5304 0.2957  3 Np 2.87
Np 0.5000 0.5000 0.5000  6 Se 2.87
Se 0.7732 0.5465 0.3032  1 Sc 2.77, 2 Np 2.87
Np 0.5000 0.0000 0.5000  6 Se 2.87
Tl 0.0000 0.0000 0.0000  6 Se 3.32-3.33
Tl 0.5000 0.5000 0.0000  6 Se 3.32-3.33
Se 0.7732 0.0298 0.3034  1 Sc 2.77, 2 Np 2.87
Se 0.2268 0.9702 0.6966  1 Sc 2.77, 2 Np 2.87
Se 0.2566 0.0298 0.3034  1 Sc 2.77, 2 Np 2.87
Sc 0.0000 0.0000 0.5000  6 Se 2.77
Se 0.7348 0.4696 0.7043  3 Np 2.87
Se 0.7434 0.9702 0.6966  1 Sc 2.77, 2 Np 2.87
Tl 0.0000 0.5000 0.0000  6 Se 3.32-3.33
Se 0.2268 0.4535 0.6968  1 Sc 2.77, 2 Np 2.87

Computed, not measured: GeBi2Au4 after structural relaxation at the PBE level of DFT.

- Raw total energy: -3.62 eV/atom
- DFT formation energy: 0.022 eV/atom

Cell: 6.1625 6.7934 9.2999 Å, 123.57 90.00 90.00°
Closest atoms and distances in Å follow each position.
Sites, in units of the cell vectors:
Au 0.5079 0.6173 0.4061  2 Ge 2.61-2.84, 1 Au 2.87
Au 0.2500 0.7307 0.9396  1 Ge 2.72, 1 Au 2.83, 2 Bi 2.92-2.96
Ge 0.2500 0.7852 0.6710  6 Au 2.61-2.84
Au 0.2500 0.2349 0.7825  1 Ge 2.63, 1 Bi 2.82, 3 Au 2.83-2.87
Bi 0.2500 0.2369 0.0862  6 Au 2.82-3.11
Bi 0.7500 0.0828 0.6879  7 Au 2.96-3.21
Au 0.4921 0.3827 0.5939  2 Ge 2.61-2.84, 1 Au 2.87
Bi 0.2500 0.9172 0.3121  7 Au 2.96-3.21
Au 0.0079 0.3827 0.5939  2 Ge 2.61-2.84, 1 Au 2.87
Au 0.7500 0.2693 0.0604  1 Ge 2.72, 1 Au 2.83, 2 Bi 2.92-2.96
Ge 0.7500 0.2148 0.3290  6 Au 2.61-2.84
Bi 0.7500 0.7631 0.9138  6 Au 2.82-3.11
Au 0.9921 0.6173 0.4061  2 Ge 2.61-2.84, 1 Au 2.87
Au 0.7500 0.7651 0.2175  1 Ge 2.63, 1 Bi 2.82, 3 Au 2.83-2.87

Computed, not measured: LaSm2Ru after structural relaxation at the PBE level of DFT.

- Energy relative to the lowest polymorph listed for this composition: 0.371 eV/atom
- Raw total energy: -5.78 eV/atom
- DFT formation energy: 0.125 eV/atom

Cell: 3.7536 3.7536 10.8867 Å, 80.07 80.07 60.00°
Closest atoms and distances in Å follow each position.
Sites, in units of the cell vectors:
La 0.0000 0.0000 0.0000  2 Sm 3.61, 6 La 3.75
Sm 0.8873 0.8873 0.3380  3 Ru 2.77
Ru 0.5000 0.5000 0.5000  6 Sm 2.77
Sm 0.1127 0.1127 0.6620  3 Ru 2.77

Computed, not measured: BaCrTc2 after structural relaxation at the PBE level of DFT.

- Energy relative to the lowest polymorph listed for this composition: 0.515 eV/atom
- Raw total energy: -7.00 eV/atom
- DFT formation energy: 1.071 eV/atom

Cell: 5.9352 5.9352 5.9352 Å, 148.54 125.65 64.16°
Closest atoms and distances in Å follow each position.
Sites, in units of the cell vectors:
Ba 0.5113 0.5113 0.0000  8 Tc 3.17-3.45, 2 Ba 3.22, 4 Cr 3.39
Cr 0.2142 0.7142 0.5000  2 Tc 2.89, 2 Cr 3.22
Tc 0.9751 0.9751 0.0000  2 Tc 2.39
Tc 0.7994 0.2994 0.5000  2 Tc 2.39